[1]
Density functional theory data (PBE-GGA) for a geometry-optimized Hf3BeGa2 structure. Values from VASP.

```
&SYSTEM
  ibrav = 0, nat = 24, ntyp = 3
/
ATOMIC_SPECIES
Ga 69.72 Ga.upf
Hf 178.49 Hf.upf
Be 9.01 Be.upf
ATOMIC_POSITIONS angstrom
Ga -5.847 0.025 -4.059
Ga -7.855 -3.273 -5.495
Ga -1.003 2.200 -2.466
Hf -8.900 -2.442 -1.291
Ga -4.341 -2.429 -6.907
Be -4.009 -0.109 -6.811
Hf -4.576 -1.040 -9.361
Hf -9.868 -2.262 -7.066
Hf -5.611 -1.364 -1.605
Hf -8.558 -0.932 -4.041
Hf -3.516 -1.415 -4.386
Hf -1.629 -1.472 -6.925
Hf -3.694 1.199 -2.628
Be -8.718 -2.570 -9.570
Hf -1.287 0.038 -9.675
Ga -2.329 -2.549 -9.822
Hf -6.671 -0.988 -6.580
Ga -9.184 -4.604 -8.499
Hf -6.493 -3.603 -8.338
Hf -0.319 -0.141 -3.900
Be -6.178 -2.294 -4.155
Be -1.469 0.167 -1.395
Ga -7.858 0.145 -1.143
Ga -2.332 0.869 -5.471
CELL_PARAMETERS angstrom
-1.278 3.601 -1.030
1.115 -2.370 -9.670
-10.024 -3.635 -0.265
```

***

[2]
Density functional theory data (PBE-GGA) for a geometry-optimized KHfBeGa2 structure. Values from VASP.

```
&SYSTEM
  ibrav = 0, nat = 5, ntyp = 4
/
ATOMIC_SPECIES
Hf 178.49 Hf.upf
Be 9.01 Be.upf
K 39.10 K.upf
Ga 69.72 Ga.upf
ATOMIC_POSITIONS angstrom
Hf 2.524 2.225 2.524
Be 0.000 2.225 0.000
K 0.000 0.000 0.000
Ga 0.000 0.000 2.524
Ga 2.524 0.000 0.000
CELL_PARAMETERS angstrom
5.049 0.000 0.000
0.000 4.451 0.000
0.000 0.000 5.049
```

***

[3]
Density functional theory data (PBE-GGA) for a geometry-optimized HfBeGa2N structure. Values from VASP.

```
&SYSTEM
  ibrav = 0, nat = 5, ntyp = 4
/
ATOMIC_SPECIES
Ga 69.72 Ga.upf
N 14.01 N.upf
Hf 178.49 Hf.upf
Be 9.01 Be.upf
ATOMIC_POSITIONS angstrom
Ga 2.039 0.439 1.712
N 1.286 -0.816 -1.322
Ga -0.405 -2.428 1.105
Hf 0.000 0.000 0.000
Be 2.919 -2.806 1.495
CELL_PARAMETERS angstrom
-0.811 -4.857 2.209
2.572 -1.632 -2.644
4.078 0.877 3.425
```

***

[4]
Density functional theory data (PBE-GGA) for a geometry-optimized HfBeGaN2 structure. Values from VASP.

```
&SYSTEM
  ibrav = 0, nat = 5, ntyp = 4
/
ATOMIC_SPECIES
Be 9.01 Be.upf
N 14.01 N.upf
Ga 69.72 Ga.upf
Hf 178.49 Hf.upf
ATOMIC_POSITIONS angstrom
Be -3.463 -0.946 -1.150
N -1.277 -0.671 1.244
N -1.235 1.345 -0.543
Ga 0.000 0.000 0.000
Hf -0.951 -1.620 -1.851
CELL_PARAMETERS angstrom
-2.470 2.690 -1.086
-1.902 -3.241 -3.701
-2.555 -1.341 2.488
```

***

[5]
Density functional theory data (PBE-GGA) for a geometry-optimized HfBeGa2Ni4 structure. Values from VASP.

```
&SYSTEM
  ibrav = 0, nat = 8, ntyp = 4
/
ATOMIC_SPECIES
Ni 58.69 Ni.upf
Ga 69.72 Ga.upf
Be 9.01 Be.upf
Hf 178.49 Hf.upf
ATOMIC_POSITIONS angstrom
Ni 1.843 0.689 4.453
Ga 1.045 1.494 2.366
Be 2.073 2.842 4.715
Hf 0.000 0.000 0.000
Ni 2.304 4.994 4.977
Ni 1.308 3.952 2.665
Ni 2.839 1.731 6.765
Ga 3.102 4.189 7.063
CELL_PARAMETERS angstrom
-0.597 -0.419 3.969
3.138 -0.635 2.457
1.607 6.737 3.004
```

***

[6]
Density functional theory data (PBE-GGA) for a geometry-optimized Hf2Be2GaNi5 structure. Values from VASP.

```
&SYSTEM
  ibrav = 0, nat = 20, ntyp = 4
/
ATOMIC_SPECIES
Ga 69.72 Ga.upf
Ni 58.69 Ni.upf
Be 9.01 Be.upf
Hf 178.49 Hf.upf
ATOMIC_POSITIONS angstrom
Ga -1.329 1.852 5.703
Ni -3.937 1.616 1.864
Be -2.265 0.478 2.624
Be -4.622 1.537 6.844
Ni -3.533 3.180 5.761
Ni -6.074 2.467 5.400
Ni -1.608 1.787 0.918
Ni 1.922 3.259 2.697
Hf 1.415 2.931 6.913
Ni -1.160 4.138 6.873
Ni -2.184 2.590 3.391
Ni -1.737 4.941 9.346
Ga 0.000 0.000 0.000
Hf 0.151 1.155 2.967
Hf -4.074 0.773 4.493
Ni 2.729 4.261 4.864
Ni 0.189 3.548 4.503
Be -0.394 3.227 8.782
Hf -2.809 2.550 8.439
Be 1.963 2.168 4.562
CELL_PARAMETERS angstrom
-0.686 3.023 -1.142
-7.189 0.210 4.871
4.530 3.495 6.535
```

***

[7]
Density functional theory data (PBE-GGA) for a geometry-optimized HfBeGa2O structure. Values from VASP.

```
&SYSTEM
  ibrav = 0, nat = 5, ntyp = 4
/
ATOMIC_SPECIES
Ga 69.72 Ga.upf
O 16.00 O.upf
Be 9.01 Be.upf
Hf 178.49 Hf.upf
ATOMIC_POSITIONS angstrom
Ga 0.000 0.000 2.650
Ga 2.650 0.000 0.000
O 2.650 2.391 2.650
Be 0.000 2.391 0.000
Hf 0.000 0.000 0.000
CELL_PARAMETERS angstrom
5.300 0.000 0.000
0.000 4.783 0.000
0.000 0.000 5.300
```

***

[8]
Density functional theory data (PBE-GGA) for a geometry-optimized HfBeGa2Pt structure. Values from VASP.

```
&SYSTEM
  ibrav = 0, nat = 5, ntyp = 4
/
ATOMIC_SPECIES
Ga 69.72 Ga.upf
Hf 178.49 Hf.upf
Pt 195.08 Pt.upf
Be 9.01 Be.upf
ATOMIC_POSITIONS angstrom
Ga -0.686 1.381 1.766
Ga -2.226 -0.206 -0.704
Hf -0.288 -2.093 1.525
Pt 0.000 0.000 0.000
Be -3.201 -0.919 2.587
CELL_PARAMETERS angstrom
-1.372 2.762 3.531
-4.453 -0.413 -1.407
-0.576 -4.186 3.050
```

***

no.,total DFT energy (no corrections) (eV/atom)
1,-7.003
2,-2.519
3,-4.769
4,-5.073
5,-5.781
6,-6.404
7,-3.482
8,-4.736